(1)
First-principles (PBE-GGA) data for an optimized crystal structure of CaTlSeO5, as listed in Alexandria via LeMat-Bulk. Values from VASP.

E_tot in eV/cell: -84.4
ΔE_f (raw) in eV per atom: -1.194
DOS(E_F) in states/eV/cell: 3.33
Symmetry: C2/c, No. 15

The structure in Quantum ESPRESSO input format:
```
&SYSTEM
  ibrav = 0, nat = 16, ntyp = 4
/
ATOMIC_SPECIES
Ca 40.08 Ca.upf
Tl 204.38 Tl.upf
Se 78.96 Se.upf
O 16.00 O.upf
CELL_PARAMETERS angstrom
3.727 -4.755 0.000
3.727 4.755 0.000
-3.100 0.000 6.798
ATOMIC_POSITIONS crystal
Ca 0.170 0.830 0.750
Ca 0.830 0.170 0.250
Tl 0.500 0.500 0.000
Tl 0.500 0.500 0.500
Se 0.186 0.814 0.250
Se 0.814 0.186 0.750
O 0.087 0.223 0.920
O 0.126 0.603 0.392
O 0.223 0.087 0.420
O 0.397 0.874 0.108
O 0.410 0.590 0.750
O 0.590 0.410 0.250
O 0.603 0.126 0.892
O 0.777 0.913 0.580
O 0.874 0.397 0.608
O 0.913 0.777 0.080
```

---

(2)
First-principles (PBE-GGA) data for an optimized crystal structure of Ta2TlRe, as listed in Alexandria via LeMat-Bulk. Values from VASP.

E_tot in eV/cell: -145.3
Formation energy from the elements in eV per formula unit: 2.2
Energy relative to the lowest polymorph listed for this composition in meV per atom: 341
DOS(E_F) in states/eV/cell: 18.44
Symmetry: Fm-3m, No. 225

The structure in Quantum ESPRESSO input format:
```
&SYSTEM
  ibrav = 0, nat = 16, ntyp = 3
/
ATOMIC_SPECIES
Ta 180.95 Ta.upf
Tl 204.38 Tl.upf
Re 186.21 Re.upf
CELL_PARAMETERS angstrom
6.636 0.000 0.000
0.000 6.636 0.000
0.000 0.000 6.636
ATOMIC_POSITIONS crystal
Ta 0.250 0.250 0.250
Ta 0.250 0.250 0.750
Ta 0.250 0.750 0.250
Ta 0.250 0.750 0.750
Ta 0.750 0.250 0.250
Ta 0.750 0.250 0.750
Ta 0.750 0.750 0.250
Ta 0.750 0.750 0.750
Tl 0.000 0.000 0.000
Tl 0.000 0.500 0.500
Tl 0.500 0.000 0.500
Tl 0.500 0.500 0.000
Re 0.000 0.000 0.500
Re 0.000 0.500 0.000
Re 0.500 0.000 0.000
Re 0.500 0.500 0.500
```

---

(3)
First-principles (PBE-GGA) data for an optimized crystal structure of Si12HN8, as listed in Alexandria via LeMat-Bulk. Values from VASP.

E_tot in eV/cell: -142.9
DOS(E_F) in states/eV/cell: 0.14
Symmetry: Pm-3m, No. 221

The structure in Quantum ESPRESSO input format:
```
&SYSTEM
  ibrav = 0, nat = 21, ntyp = 3
/
ATOMIC_SPECIES
Si 28.09 Si.upf
H 1.01 H.upf
N 14.01 N.upf
CELL_PARAMETERS angstrom
6.704 0.000 0.000
0.000 6.704 0.000
0.000 0.000 6.704
ATOMIC_POSITIONS crystal
Si 0.000 0.322 0.322
Si 0.000 0.322 0.678
Si 0.000 0.678 0.322
Si 0.000 0.678 0.678
Si 0.322 0.000 0.322
Si 0.322 0.000 0.678
Si 0.322 0.322 0.000
Si 0.322 0.678 0.000
Si 0.678 0.000 0.322
Si 0.678 0.000 0.678
Si 0.678 0.322 0.000
Si 0.678 0.678 0.000
H 0.000 0.000 0.000
N 0.223 0.223 0.223
N 0.223 0.223 0.777
N 0.223 0.777 0.223
N 0.223 0.777 0.777
N 0.777 0.223 0.223
N 0.777 0.223 0.777
N 0.777 0.777 0.223
N 0.777 0.777 0.777
```

---

(4)
First-principles (PBE-GGA) data for an optimized crystal structure of Pm2Al3GePt4, as listed in Alexandria via LeMat-Bulk. Values from VASP.

E_tot in eV/cell: -60.4
Formation energy from the elements in eV per formula unit: -10.9
DOS(E_F) in states/eV/cell: 6.07
Symmetry: P-4m2, No. 115

The structure in Quantum ESPRESSO input format:
```
&SYSTEM
  ibrav = 0, nat = 10, ntyp = 4
/
ATOMIC_SPECIES
Pm 145.00 Pm.upf
Al 26.98 Al.upf
Ge 72.64 Ge.upf
Pt 195.08 Pt.upf
CELL_PARAMETERS angstrom
4.316 0.000 0.000
0.000 4.316 0.000
0.000 0.000 10.248
ATOMIC_POSITIONS crystal
Pm 0.000 0.500 0.247
Pm 0.500 0.000 0.753
Al 0.000 0.000 0.000
Al 0.000 0.500 0.627
Al 0.500 0.000 0.373
Ge 0.500 0.500 0.000
Pt 0.000 0.000 0.500
Pt 0.000 0.500 0.868
Pt 0.500 0.000 0.132
Pt 0.500 0.500 0.500
```

---

(5)
First-principles (PBE-GGA) data for an optimized crystal structure of Er2TmTh, as listed in Alexandria via LeMat-Bulk. Values from VASP.

E_tot in eV/cell: -41.8
Formation energy from the elements in eV per formula unit: 0.1
Energy relative to the lowest polymorph listed for this composition in meV per atom: 40
DOS(E_F) in states/eV/cell: 13.31
Symmetry: P2/m, No. 10

The structure in Quantum ESPRESSO input format:
```
&SYSTEM
  ibrav = 0, nat = 8, ntyp = 3
/
ATOMIC_SPECIES
Er 167.26 Er.upf
Tm 168.93 Tm.upf
Th 232.04 Th.upf
CELL_PARAMETERS angstrom
5.686 0.000 0.000
0.000 3.576 0.000
-0.003 0.000 12.364
ATOMIC_POSITIONS crystal
Er 0.249 0.000 0.165
Er 0.250 0.500 0.419
Er 0.750 0.500 0.581
Er 0.751 0.000 0.835
Tm 0.250 0.000 0.668
Tm 0.750 0.000 0.332
Th 0.251 0.500 0.913
Th 0.749 0.500 0.087
```

---

(6)
First-principles (PBE-GGA) data for an optimized crystal structure of ScHg2Ir, as listed in Alexandria via LeMat-Bulk. Values from VASP.

E_tot in eV/cell: -31.8
Formation energy from the elements in eV per formula unit: -0.1
Energy relative to the lowest polymorph listed for this composition in meV per atom: 257
DOS(E_F) in states/eV/cell: 3.60
Symmetry: C2/m, No. 12

The structure in Quantum ESPRESSO input format:
```
&SYSTEM
  ibrav = 0, nat = 8, ntyp = 3
/
ATOMIC_SPECIES
Sc 44.96 Sc.upf
Hg 200.59 Hg.upf
Ir 192.22 Ir.upf
CELL_PARAMETERS angstrom
5.738 0.000 0.000
0.000 10.147 0.000
-2.232 0.000 2.801
ATOMIC_POSITIONS crystal
Sc 0.000 0.000 0.000
Sc 0.500 0.500 0.000
Hg 0.250 0.250 0.500
Hg 0.250 0.750 0.500
Hg 0.750 0.250 0.500
Hg 0.750 0.750 0.500
Ir 0.000 0.500 0.000
Ir 0.500 0.000 0.000
```

---

(7)
First-principles (PBE-GGA) data for an optimized crystal structure of LaCoPb4, as listed in Alexandria via LeMat-Bulk. Values from VASP.

E_tot in eV/cell: -24.7
Formation energy from the elements in eV per formula unit: 2.2
DOS(E_F) in states/eV/cell: 4.80
Symmetry: F-43m, No. 216

The structure in Quantum ESPRESSO input format:
```
&SYSTEM
  ibrav = 0, nat = 6, ntyp = 3
/
ATOMIC_SPECIES
La 138.91 La.upf
Co 58.93 Co.upf
Pb 207.20 Pb.upf
CELL_PARAMETERS angstrom
0.000 4.509 4.509
4.509 0.000 4.509
4.509 4.509 0.000
ATOMIC_POSITIONS crystal
La 0.000 0.000 0.000
Co 0.250 0.250 0.250
Pb 0.124 0.625 0.625
Pb 0.625 0.124 0.625
Pb 0.625 0.625 0.124
Pb 0.625 0.625 0.625
```

---

(8)
First-principles (PBE-GGA) data for an optimized crystal structure of ScCuPt, as listed in Alexandria via LeMat-Bulk. Values from VASP.

E_tot in eV/cell: -72.9
Formation energy from the elements in eV per formula unit: -1.7
Energy relative to the lowest polymorph listed for this composition in meV per atom: 195
DOS(E_F) in states/eV/cell: 5.19
Symmetry: F-43m, No. 216

The structure in Quantum ESPRESSO input format:
```
&SYSTEM
  ibrav = 0, nat = 12, ntyp = 3
/
ATOMIC_SPECIES
Sc 44.96 Sc.upf
Cu 63.55 Cu.upf
Pt 195.08 Pt.upf
CELL_PARAMETERS angstrom
6.149 0.000 0.000
0.000 6.149 0.000
0.000 0.000 6.149
ATOMIC_POSITIONS crystal
Sc 0.000 0.000 0.000
Sc 0.000 0.500 0.500
Sc 0.500 0.000 0.500
Sc 0.500 0.500 0.000
Cu 0.000 0.000 0.500
Cu 0.000 0.500 0.000
Cu 0.500 0.000 0.000
Cu 0.500 0.500 0.500
Pt 0.250 0.250 0.250
Pt 0.250 0.750 0.750
Pt 0.750 0.250 0.750
Pt 0.750 0.750 0.250
```

---

(9)
First-principles (PBE-GGA) data for an optimized crystal structure of LiGa4Rh, as listed in Alexandria via LeMat-Bulk. Values from VASP.

E_tot in eV/cell: -23.5
Formation energy from the elements in eV per formula unit: -2.1
Energy relative to the lowest polymorph listed for this composition in meV per atom: 0
DOS(E_F) in states/eV/cell: 2.31
Symmetry: P4/mmm, No. 123

The structure in Quantum ESPRESSO input format:
```
&SYSTEM
  ibrav = 0, nat = 6, ntyp = 3
/
ATOMIC_SPECIES
Li 6.94 Li.upf
Ga 69.72 Ga.upf
Rh 102.91 Rh.upf
CELL_PARAMETERS angstrom
4.411 0.000 0.000
0.000 4.411 0.000
0.000 0.000 5.316
ATOMIC_POSITIONS crystal
Li 0.000 0.000 0.000
Ga 0.000 0.500 0.247
Ga 0.000 0.500 0.753
Ga 0.500 0.000 0.247
Ga 0.500 0.000 0.753
Rh 0.000 0.000 0.500
```

---

(10)
First-principles (PBE-GGA) data for an optimized crystal structure of Zn2PRu, as listed in Alexandria via LeMat-Bulk. Values from VASP.

E_tot in eV/cell: -64.8
Formation energy from the elements in eV per formula unit: 1.0
DOS(E_F) in states/eV/cell: 16.22
Symmetry: I-42d, No. 122

The structure in Quantum ESPRESSO input format:
```
&SYSTEM
  ibrav = 0, nat = 16, ntyp = 3
/
ATOMIC_SPECIES
Zn 65.41 Zn.upf
P 30.97 P.upf
Ru 101.07 Ru.upf
CELL_PARAMETERS angstrom
7.223 0.000 0.000
0.000 7.223 0.000
0.000 0.000 4.710
ATOMIC_POSITIONS crystal
Zn 0.217 0.250 0.125
Zn 0.250 0.717 0.375
Zn 0.250 0.783 0.875
Zn 0.283 0.250 0.625
Zn 0.717 0.750 0.625
Zn 0.750 0.217 0.875
Zn 0.750 0.283 0.375
Zn 0.783 0.750 0.125
P 0.000 0.000 0.000
P 0.000 0.500 0.250
P 0.500 0.000 0.750
P 0.500 0.500 0.500
Ru 0.000 0.000 0.500
Ru 0.000 0.500 0.750
Ru 0.500 0.000 0.250
Ru 0.500 0.500 0.000
```

---

> Which value of DOS(E_F) does entry 9 give?

2.31 states/eV/cell

---

Repeat the fourth record exactly.
First-principles (PBE-GGA) data for an optimized crystal structure of Pm2Al3GePt4, as listed in Alexandria via LeMat-Bulk. Values from VASP.

E_tot in eV/cell: -60.4
Formation energy from the elements in eV per formula unit: -10.9
DOS(E_F) in states/eV/cell: 6.07
Symmetry: P-4m2, No. 115

The structure in Quantum ESPRESSO input format:
```
&SYSTEM
  ibrav = 0, nat = 10, ntyp = 4
/
ATOMIC_SPECIES
Pm 145.00 Pm.upf
Al 26.98 Al.upf
Ge 72.64 Ge.upf
Pt 195.08 Pt.upf
CELL_PARAMETERS angstrom
4.316 0.000 0.000
0.000 4.316 0.000
0.000 0.000 10.248
ATOMIC_POSITIONS crystal
Pm 0.000 0.500 0.247
Pm 0.500 0.000 0.753
Al 0.000 0.000 0.000
Al 0.000 0.500 0.627
Al 0.500 0.000 0.373
Ge 0.500 0.500 0.000
Pt 0.000 0.000 0.500
Pt 0.000 0.500 0.868
Pt 0.500 0.000 0.132
Pt 0.500 0.500 0.500
```

---

> Look up the E_tot of the eighth one.

-72.9 eV/cell

---

> DOS(E_F) of number 7 (LaCoPb4)?

4.80 states/eV/cell